# 1
Here is a relaxed structure of PrYCuAu from Alexandria. Energies are from PBE-GGA.

Structure (POSCAR):
```
PrYCuAu
1.0
5.134 0.000 0.000
2.567 4.446 0.000
2.567 1.482 4.192
Pr Y Au Cu
1 1 1 1
Cartesian
2.567 1.482 1.048
7.702 4.446 3.144
5.134 2.964 2.096
0.000 0.000 0.000
```

Properties
The calculation puts the energy of formation from the pure elements at -1.876 eV per formula unit. As for the offset from the most stable computed form: 0.16 eV/f.u.



# 2
Here is a relaxed structure of Fe2HPtRh from Alexandria. Energies are from PBE-GGA.

Structure (POSCAR):
```
Fe2HPtRh
1.0
-1.953 3.191 0.329
-2.666 -1.400 -2.245
-1.777 -1.395 2.981
H Rh Fe Pt
1 1 2 1
Cartesian
0.000 0.000 0.000
-0.889 -0.698 1.491
-1.333 -0.700 -1.122
-0.976 1.596 0.165
-3.198 0.198 0.533
```

Properties
As for the offset from the most stable computed form: 0.66 eV/f.u.



# 3
Here is a relaxed structure of Hf2TiTlSe from Alexandria. Energies are from PBE-GGA.

Structure (POSCAR):
```
Hf2TiTlSe
1.0
4.880 0.000 0.000
0.000 5.476 0.000
0.000 0.000 4.880
Tl Hf Se Ti
1 2 1 1
Cartesian
0.000 2.738 0.000
0.000 0.000 2.440
2.440 0.000 0.000
0.000 0.000 0.000
2.440 2.738 2.440
```

Properties
For the raw formation energy, the calculation gives 582.2 meV/atom. As for the offset from the most stable computed form: 0.00 eV/f.u.



# 4
Here is a relaxed structure of PuNpAlOs from Alexandria. Energies are from PBE-GGA.

Structure (POSCAR):
```
PuNpAlOs
1.0
4.723 0.000 0.000
2.362 4.090 0.000
2.362 1.363 3.856
Np Os Al Pu
1 1 1 1
Cartesian
4.723 2.727 1.928
2.362 1.363 0.964
0.000 0.000 0.000
7.085 4.090 2.892
```

Properties
The calculation puts the energy of formation from the pure elements at -0.314 eV per formula unit.



# 5
Here is a relaxed structure of La2Mg3Sn2 from Alexandria. Energies are from PBE-GGA.

Structure (POSCAR):
```
La2Mg3Sn2
1.0
4.744 0.000 0.000
-2.372 5.760 -0.042
0.000 -2.704 7.081
La Mg Sn
2 3 2
Cartesian
2.372 3.456 1.557
0.000 -0.400 5.483
2.372 0.000 0.000
2.372 0.074 3.046
0.000 2.982 3.994
2.372 1.948 5.408
0.000 1.107 1.632
```

Properties
The calculation puts the energy of formation from the pure elements at -3.280 eV per formula unit.



# 6
Here is a relaxed structure of SrY2MgO from Alexandria. Energies are from PBE-GGA.

Structure (POSCAR):
```
SrY2MgO
1.0
-4.684 -0.770 1.039
-0.572 -2.264 -4.261
1.263 -4.608 2.279
Y Sr Mg O
2 1 1 1
Cartesian
-0.286 -1.132 -2.130
-2.342 -0.385 0.519
0.632 -2.304 1.140
-1.996 -3.821 -0.472
0.000 0.000 0.000
```

Properties
For the raw formation energy, the calculation gives -1067.9 meV/atom.



# 7
Here is a relaxed structure of RbSnIO2 from Alexandria. Energies are from PBE-GGA.

Structure (POSCAR):
```
RbSnIO2
1.0
4.914 0.000 0.000
0.000 4.914 0.000
0.000 0.000 6.643
I O Sn Rb
1 2 1 1
Cartesian
0.000 0.000 3.322
0.000 2.457 0.000
2.457 0.000 0.000
2.457 2.457 3.322
0.000 0.000 0.000
```

Properties
For the raw formation energy, the calculation gives 402.9 meV/atom. As for the offset from the most stable computed form: 5.94 eV/f.u.



# 8
Here is a relaxed structure of Ac3Pr4 from Alexandria. Energies are from PBE-GGA.

Structure (POSCAR):
```
Ac3Pr4
1.0
3.865 0.000 0.000
0.000 3.865 0.000
-1.932 -1.932 18.741
Ac Pr
3 4
Cartesian
0.000 0.000 0.000
1.932 1.932 7.903
0.000 0.000 10.837
1.932 1.932 13.539
0.000 0.000 16.039
1.932 1.932 2.702
0.000 0.000 5.202
```

Properties
The calculation puts the energy of formation from the pure elements at 0.192 eV per formula unit.



# 9
Here is a relaxed structure of ZrScNi from Alexandria. Energies are from PBE-GGA.

Structure (POSCAR):
```
ZrScNi
1.0
4.332 -0.011 0.003
0.012 4.757 -0.065
-0.009 -1.619 5.666
Zr Sc Ni
2 2 2
Cartesian
3.263 2.378 1.445
1.091 0.781 4.177
3.263 3.118 4.577
1.092 0.041 1.045
3.256 -0.006 2.548
1.098 3.164 3.074
```

Properties
The calculation puts the energy of formation from the pure elements at -0.704 eV per formula unit. As for the offset from the most stable computed form: 0.22 eV/f.u.



# 10
Here is a relaxed structure of Tl3Cr2 from Alexandria. Energies are from PBE-GGA.

Structure (POSCAR):
```
Tl3Cr2
1.0
6.186 -6.574 1.107
1.909 -5.252 5.439
0.019 -5.182 -3.457
Tl Cr
6 4
Cartesian
5.498 -9.341 1.999
3.248 -7.095 0.960
5.849 -12.214 0.694
6.954 -12.727 3.809
2.282 -10.113 1.909
2.382 -3.931 0.699
2.945 -7.756 3.900
4.184 -10.145 -0.609
2.323 -6.147 -1.685
6.935 -9.824 4.538
```

Properties
The calculation puts the energy of formation from the pure elements at 3.234 eV per formula unit. As for the offset from the most stable computed form: 0.22 eV/f.u.



# 11
Here is a relaxed structure of Cr2GaHCl from Alexandria. Energies are from PBE-GGA.

Structure (POSCAR):
```
Cr2GaHCl
1.0
-4.155 -1.358 1.442
-0.595 -3.330 -4.850
1.926 -3.553 2.203
Cr H Ga Cl
2 1 1 1
Cartesian
0.963 -1.776 1.102
-2.077 -0.679 0.721
-1.412 -4.120 -0.603
-0.298 -1.665 -2.425
0.000 0.000 0.000
```

Properties
The uncorrected energy is -21.5 eV/cell.



# 12
Here is a relaxed structure of Rb2NaHg7Pd2 from Alexandria. Energies are from PBE-GGA.

Structure (POSCAR):
```
Rb2NaHg7Pd2
1.0
-2.777 3.403 2.997
1.501 -2.460 4.469
9.776 8.773 6.537
Rb Na Hg Pd
2 1 7 2
Cartesian
2.526 3.797 7.787
5.974 5.919 6.216
0.000 0.000 0.000
-0.638 0.471 3.733
3.740 3.751 4.074
4.759 5.964 9.929
-0.280 3.570 5.451
1.921 0.553 6.208
6.578 9.162 7.795
8.780 6.145 8.552
6.985 7.594 9.952
1.515 2.122 4.051
```

Properties
The calculation puts the energy of formation from the pure elements at -2.326 eV per formula unit.



N(E_F) readings, ordered: 1.0120, 1.2656, 1.0678, 1.7214, 0.7256, 1.1374, 0.5918, 1.9097, 1.1879, 0.7035, 0.5093, 0.4993 states/eV/atom
V readings, ordered: 95.7, 52.8, 130.4, 74.5, 193.0, 125.0, 160.4, 279.9, 116.3, 231.8, 125.3, 380.4 Å³ per cell